GGA-PBE Ce2GaCl2, optimized geometry; space group = R-3m, No. 166; formation energy (no corrections) = -1301 meV/atom
1.0
-2.1076 0.0907 3.5629
-2.8746 -2.8765 0.7788
5.4809 -6.8808 5.8233
Cl Ce Ga
2 2 1
Direct
0.7787 0.7787 0.6638
0.2213 0.2213 0.3362
0.3932 0.3932 0.8203
0.6068 0.6068 0.1797
0.0000 0.0000 0.0000

=====

GGA-PBE Nd2Si2S7, optimized geometry; space group = C2/m, No. 12; formation energy (no corrections) = -1142 meV/atom
1.0
-0.1118 -0.0203 5.9226
-6.7166 -2.1092 -0.9976
3.5749 -6.0918 -0.8170
Si S Nd
2 7 2
Direct
0.9169 0.2248 0.2248
0.0831 0.7752 0.7752
0.2691 0.5895 0.9126
0.7309 0.0874 0.4105
0.2691 0.9126 0.5895
0.7748 0.6102 0.6102
0.7309 0.4105 0.0874
0.0000 0.0000 0.0000
0.2252 0.3898 0.3898
0.5000 0.7023 0.2977
0.5000 0.2977 0.7023

=====

GGA-PBE ZrTiNbPb, optimized geometry; formation energy = 0.033 eV/atom; space group = F-43m, No. 216
1.0
-2.5286 1.6470 -3.8022
-3.0978 -2.9372 -2.3108
-4.7837 0.7228 0.3958
Ti Nb Pb Zr
1 1 1 1
Direct
0.7500 0.7500 0.7500
0.5000 0.5000 0.5000
0.0000 0.0000 0.0000
0.2500 0.2500 0.2500

=====

GGA-PBE Cs2CoW, optimized geometry; energy above the lowest structure with this stoichiometry = 0.958 eV per atom; formation energy = 2.527 eV/atom; space group = Fm-3m, No. 225
1.0
0.0000 3.8413 3.8413
3.8413 0.0000 3.8413
3.8413 3.8413 0.0000
W Cs Co
1 2 1
Direct
0.5000 0.5000 0.5000
0.2500 0.2500 0.2500
0.7500 0.7500 0.7500
0.0000 0.0000 0.0000

=====

Repeat the second record exactly.
GGA-PBE Nd2Si2S7, optimized geometry; space group = C2/m, No. 12; formation energy (no corrections) = -1142 meV/atom
1.0
-0.1118 -0.0203 5.9226
-6.7166 -2.1092 -0.9976
3.5749 -6.0918 -0.8170
Si S Nd
2 7 2
Direct
0.9169 0.2248 0.2248
0.0831 0.7752 0.7752
0.2691 0.5895 0.9126
0.7309 0.0874 0.4105
0.2691 0.9126 0.5895
0.7748 0.6102 0.6102
0.7309 0.4105 0.0874
0.0000 0.0000 0.0000
0.2252 0.3898 0.3898
0.5000 0.7023 0.2977
0.5000 0.2977 0.7023

=====

Repeat the third record exactly.
GGA-PBE ZrTiNbPb, optimized geometry; formation energy = 0.033 eV/atom; space group = F-43m, No. 216
1.0
-2.5286 1.6470 -3.8022
-3.0978 -2.9372 -2.3108
-4.7837 0.7228 0.3958
Ti Nb Pb Zr
1 1 1 1
Direct
0.7500 0.7500 0.7500
0.5000 0.5000 0.5000
0.0000 0.0000 0.0000
0.2500 0.2500 0.2500